A plane-wave DFT calculation with PBE was carried out for an optimized crystal structure of NaCe5As6.

```
12
Lattice="3.673 -6.351 0.000 3.673 6.351 0.000 -2.435 0.000 6.907" Properties=species:S:1:pos:R:3 pbc="T T T"
Na 0.000 0.000 0.000
Ce 2.455 4.275 3.454
Ce 3.673 2.132 0.000
Ce 2.455 0.000 3.454
Ce 3.673 -2.132 0.000
Ce 2.455 -4.275 3.454
As 1.274 2.190 1.766
As 0.094 0.000 5.145
As 1.274 -2.190 1.766
As 3.636 2.190 5.141
As 4.816 0.000 1.762
As 3.636 -2.190 5.141
```

Results
Formation energy from the elements, meV per atom: -1227.1
SG: C2/m (12)
Calculated volume, Å³ per atom: 26.85